# BaNiO2F

An optimized crystal structure of BaNiO2F (PBE+U, Alexandria via LeMat-Bulk).

Cell lengths 4.5105, 4.5105, 5.0409 Å; angles 90.00, 90.00, 90.00 degrees
With the nearest neighbours (Å) after each atom.
Sites, in units of the cell vectors:
Ba  0.0000  0.0000  0.0000  4 O 2.26, 2 F 2.52
Ni  0.5000  0.5000  0.5000  4 F 3.19, 8 O 3.38
O  0.0000  0.5000  0.0000  2 Ba 2.26
O  0.5000  0.0000  0.0000  2 Ba 2.26
F  0.0000  0.0000  0.5000  2 Ba 2.52

Results
Calculated volume: 103 Å³/cell
Uncorrected energy: -18.64 eV for the cell shown
SG: P4/mmm (123)
Mass density: 4.00 g/cm³